# 1
A relaxed structure of LiSc2CdO. Source: Alexandria, functional PBE.

a = 4.382 Å, b = 4.382 Å, c = 4.334 Å
α = 90.00°, β = 90.00°, γ = 90.00°
Sites, in units of the cell vectors:
Li1 0.000 0.000 0.000
Sc1 0.000 0.500 0.500
Sc2 0.500 0.000 0.500
Cd1 0.500 0.500 0.000
O1 0.000 0.000 0.500

Properties
Space-group type ... P4/mmm (123)
Theoretical density ... 4.50 g/cm3
N(E_F) ... 4.068 states/eV per cell
Total magnetization ... 0.0 Bohr magnetons per cell
Energy relative to the elements, uncorrected ... -1.2923 eV per atom


# 2
A relaxed structure of EuSnP. Source: Alexandria, functional PBE.

a = 4.695 Å, b = 4.695 Å, c = 4.097 Å
α = 90.00°, β = 90.00°, γ = 120.00°
Sites, in units of the cell vectors:
Eu1 0.000 0.000 0.000
Sn1 0.333 0.667 0.500
P1 0.667 0.333 0.500

Properties
ΔE_f ... -50.8 kJ per mole of atoms
Space-group type ... P-6m2 (187)
Theoretical density ... 6.40 g/cm3
N(E_F) ... 4.636 states/eV per cell
Energy above the lowest structure with this stoichiometry ... 286.5 meV/atom
Total magnetization ... 7.1 Bohr magnetons per cell